[1]
Material: SrYIr
Method: DFT, PBE
State: relaxed

## Properties
The value obtained for the offset from the most stable computed form is 0.000 eV per atom. Its space group is I4mm (107). The density of states at the Fermi level is 1.0 states/eV/cell. Its magnetic moment is 0.0 μB per formula unit.

extended XYZ file:
```
3
Lattice="-1.771 -6.801 2.018 1.760 -6.869 1.783 0.236 0.065 3.531" Properties=species:S:1:pos:R:3 pbc="T T T"
Y 0.083 -8.420 3.698
Sr 0.145 -4.980 3.630
Ir 0.232 -0.139 3.535
```

***

[2]
Material: Rb2Te3As
Method: DFT, PBE
State: relaxed

## Properties
The value obtained for the offset from the most stable computed form is 0.006 eV per atom. Its space group is Cmce (64). The value obtained for the uncorrected formation energy is -0.53 eV/atom. The density of states at the Fermi level is 6.3 states/eV/cell. Its magnetic moment is 0.0 μB per formula unit.

extended XYZ file:
```
24
Lattice="-2.232 -4.781 -6.226 2.876 -3.596 7.079 -16.811 -0.628 6.509" Properties=species:S:1:pos:R:3 pbc="T T T"
Rb -1.742 -4.218 -1.485
Rb -6.730 -2.056 3.991
Rb -2.368 -7.677 1.396
Rb -14.425 -4.788 8.848
Rb -13.799 -1.328 5.967
Rb -9.437 -6.950 3.371
Rb -12.061 -3.612 1.749
Rb -4.106 -5.393 5.614
Te -0.215 -1.638 1.335
Te -5.856 -7.490 2.503
Te -15.952 -7.368 6.028
Te -10.311 -1.515 4.860
Te -0.803 -4.952 4.091
Te -12.057 -5.441 5.826
Te -8.359 -4.291 0.943
Te -10.941 -3.050 8.939
Te -7.808 -4.715 6.420
Te -5.226 -5.955 -1.576
Te -4.110 -3.565 1.537
Te -15.364 -4.053 3.272
As -14.327 -6.084 4.459
As -1.840 -2.922 2.903
As -10.145 -3.579 6.385
As -6.022 -5.427 0.978
```

***

[3]
Material: CdPbI2
Method: DFT, PBE
State: relaxed

## Properties
The value obtained for the offset from the most stable computed form is 0.049 eV per atom. Its space group is Fm-3m (225). The value obtained for the uncorrected formation energy is -0.16 eV/atom. The density of states at the Fermi level is 1.0 states/eV/cell. Its magnetic moment is 0.0 μB per formula unit.

extended XYZ file:
```
4
Lattice="0.000 4.095 4.095 4.095 0.000 4.095 4.095 4.095 0.000" Properties=species:S:1:pos:R:3 pbc="T T T"
Cd 0.000 0.000 0.000
I 6.143 6.143 6.143
I 2.048 2.048 2.048
Pb 4.095 4.095 4.095
```

***

[4]
Material: NaSb2F8
Method: DFT, PBE
State: relaxed

## Properties
Its space group is C2/m (12). The value obtained for the uncorrected formation energy is -2.33 eV/atom. The density of states at the Fermi level is 4.3 states/eV/cell. Its magnetic moment is 0.0 μB per formula unit.

extended XYZ file:
```
11
Lattice="4.826 -0.775 -0.588 -0.976 6.249 0.302 -0.976 1.974 5.937" Properties=species:S:1:pos:R:3 pbc="T T T"
Na 0.000 0.000 0.000
F 3.214 0.612 0.464
F -0.067 6.535 2.353
F 3.085 4.168 3.162
F 2.942 3.422 -0.009
F -0.067 4.025 5.660
F -0.210 3.280 2.488
F -0.340 6.836 5.187
F 2.942 0.913 3.298
Sb 2.663 2.090 1.586
Sb 0.211 5.357 4.065
```

***

[5]
Material: Mg2SiTe4
Method: DFT, PBE
State: relaxed

## Properties
Its space group is I-42m (121). The value obtained for the uncorrected formation energy is -0.49 eV/atom. The density of states at the Fermi level is 0.0 states/eV/cell. Its magnetic moment is 0.0 μB per formula unit.

extended XYZ file:
```
7
Lattice="6.274 -1.047 -3.593 -3.953 6.144 -0.012 -0.674 1.047 7.199" Properties=species:S:1:pos:R:3 pbc="T T T"
Te 1.581 2.137 0.791
Te -1.030 1.601 4.505
Te -0.952 5.590 4.384
Te -2.578 4.008 1.100
Si -2.313 3.595 3.593
Mg 0.004 4.346 -0.006
Mg 1.644 1.798 3.600
```

***

[6]
Material: NaHo2Pb3Se6
Method: DFT, PBE
State: relaxed

## Properties
Its space group is C2/m (12). The value obtained for the uncorrected formation energy is -1.08 eV/atom. The density of states at the Fermi level is 4.3 states/eV/cell. Its magnetic moment is 0.0 μB per formula unit.

extended XYZ file:
```
12
Lattice="4.099 0.000 0.000 0.000 9.141 0.289 -2.049 -2.670 8.961" Properties=species:S:1:pos:R:3 pbc="T T T"
Ho 2.049 4.313 6.204
Ho 0.000 2.157 3.047
Se 2.049 4.177 3.251
Se 2.049 0.165 3.113
Se 0.000 6.305 6.137
Se 0.000 2.293 5.999
Se 2.049 4.195 9.006
Se 0.000 2.275 0.244
Na 2.049 0.000 0.000
Pb 2.049 -0.333 6.140
Pb 0.000 6.803 3.110
Pb 2.049 4.570 0.145
```